# 1
## FeTc2Sb (PBE-GGA)

Data for a geometry-optimized FeTc2Sb structure. Values from VASP.

Quantum ESPRESSO input file:
```
&SYSTEM
  ibrav = 0, nat = 8, ntyp = 3
/
ATOMIC_SPECIES
Fe 55.84 Fe.upf
Tc 98.00 Tc.upf
Sb 121.76 Sb.upf
ATOMIC_POSITIONS crystal
Fe 0.0000 0.0000 0.0000
Fe 0.5000 0.5000 0.0000
Tc 0.2535 0.0000 0.7553
Tc 0.4909 0.0000 0.4917
Tc 0.7535 0.5000 0.7553
Tc 0.9909 0.5000 0.4917
Sb 0.2370 0.5000 0.2386
Sb 0.7370 0.0000 0.2386
CELL_PARAMETERS angstrom
9.7511 0.0000 0.0000
0.0000 3.1868 0.0000
-1.9209 0.0000 3.8960
```



# 2
## FeTc2Sb (PBE-GGA)

Data for a geometry-optimized FeTc2Sb structure. Values from VASP.

Quantum ESPRESSO input file:
```
&SYSTEM
  ibrav = 0, nat = 4, ntyp = 3
/
ATOMIC_SPECIES
Fe 55.84 Fe.upf
Tc 98.00 Tc.upf
Sb 121.76 Sb.upf
ATOMIC_POSITIONS crystal
Fe 0.0000 0.0000 0.0000
Tc 0.5000 0.5000 0.2310
Tc 0.5000 0.5000 0.7690
Sb 0.0000 0.0000 0.5000
CELL_PARAMETERS angstrom
3.1499 0.0000 0.0000
0.0000 3.1499 0.0000
0.0000 0.0000 6.1876
```



# 3
## FeTc2Sb (PBE-GGA)

Data for a geometry-optimized FeTc2Sb structure. Values from VASP.

Quantum ESPRESSO input file:
```
&SYSTEM
  ibrav = 0, nat = 4, ntyp = 3
/
ATOMIC_SPECIES
Fe 55.84 Fe.upf
Tc 98.00 Tc.upf
Sb 121.76 Sb.upf
ATOMIC_POSITIONS crystal
Fe 0.0000 0.0000 0.0000
Tc 0.0000 0.5000 0.5000
Tc 0.5000 0.0000 0.5000
Sb 0.5000 0.5000 0.0000
CELL_PARAMETERS angstrom
4.3898 0.0000 0.0000
0.0000 4.3898 0.0000
0.0000 0.0000 3.1694
```



# 4
! FeTc3Sb PBE-GGA optimized geometry; values from VASP
&SYSTEM
  ibrav = 0, nat = 5, ntyp = 3
/
ATOMIC_SPECIES
Fe 55.84 Fe.upf
Tc 98.00 Tc.upf
Sb 121.76 Sb.upf
ATOMIC_POSITIONS crystal
Fe 0.0000 0.0000 0.0000
Tc 0.0000 0.0000 0.5000
Tc 0.0000 0.5000 0.0000
Tc 0.5000 0.0000 0.0000
Sb 0.5000 0.5000 0.5000
CELL_PARAMETERS angstrom
4.4503 0.0000 0.0000
0.0000 4.4503 0.0000
0.0000 0.0000 4.4503
! Energy above the most stable polymorph in this dataset   0.000 eV per atom



# 5
## FeTc2Sb (PBE-GGA)

Data for a geometry-optimized FeTc2Sb structure. Values from VASP.

Quantum ESPRESSO input file:
```
&SYSTEM
  ibrav = 0, nat = 4, ntyp = 3
/
ATOMIC_SPECIES
Fe 55.84 Fe.upf
Tc 98.00 Tc.upf
Sb 121.76 Sb.upf
ATOMIC_POSITIONS crystal
Fe 0.0000 0.0000 0.0000
Tc 0.4415 0.5000 0.7871
Tc 0.5585 0.5000 0.2129
Sb 0.0000 0.0000 0.5000
CELL_PARAMETERS angstrom
2.9360 0.0000 0.0000
0.0000 3.7757 0.0000
-0.5079 0.0000 5.7061
```



# 6
## FeTc2Sb (PBE-GGA)

Data for a geometry-optimized FeTc2Sb structure. Values from VASP.

Quantum ESPRESSO input file:
```
&SYSTEM
  ibrav = 0, nat = 4, ntyp = 3
/
ATOMIC_SPECIES
Fe 55.84 Fe.upf
Tc 98.00 Tc.upf
Sb 121.76 Sb.upf
ATOMIC_POSITIONS crystal
Fe 0.0000 0.0000 0.0000
Tc 0.0000 0.0000 0.5427
Tc 0.5000 0.5000 0.7653
Sb 0.5000 0.5000 0.2596
CELL_PARAMETERS angstrom
2.9716 0.0000 0.0000
0.0000 3.8747 0.0000
0.0000 0.0000 5.4221
```



# 7
## FeTc2Sb (PBE-GGA)

Data for a geometry-optimized FeTc2Sb structure. Values from VASP.

Quantum ESPRESSO input file:
```
&SYSTEM
  ibrav = 0, nat = 16, ntyp = 3
/
ATOMIC_SPECIES
Fe 55.84 Fe.upf
Tc 98.00 Tc.upf
Sb 121.76 Sb.upf
ATOMIC_POSITIONS crystal
Fe 0.0000 0.0000 0.0000
Fe 0.0000 0.5000 0.5000
Fe 0.5000 0.0000 0.5000
Fe 0.5000 0.5000 0.0000
Tc 0.0000 0.0000 0.5000
Tc 0.0000 0.5000 0.0000
Tc 0.2500 0.2500 0.7500
Tc 0.2500 0.7500 0.2500
Tc 0.5000 0.0000 0.0000
Tc 0.5000 0.5000 0.5000
Tc 0.7500 0.2500 0.2500
Tc 0.7500 0.7500 0.7500
Sb 0.2500 0.2500 0.2500
Sb 0.2500 0.7500 0.7500
Sb 0.7500 0.2500 0.7500
Sb 0.7500 0.7500 0.2500
CELL_PARAMETERS angstrom
6.2525 0.0000 0.0000
0.0000 6.2525 0.0000
0.0000 0.0000 6.2525
```



# 8
## FeTc2Sb (PBE-GGA)

Data for a geometry-optimized FeTc2Sb structure. Values from VASP.

Quantum ESPRESSO input file:
```
&SYSTEM
  ibrav = 0, nat = 12, ntyp = 3
/
ATOMIC_SPECIES
Fe 55.84 Fe.upf
Tc 98.00 Tc.upf
Sb 121.76 Sb.upf
ATOMIC_POSITIONS crystal
Fe 0.0000 0.0000 0.0000
Fe 0.3333 0.6667 0.6667
Fe 0.6667 0.3333 0.3333
Tc 0.0000 0.0000 0.2552
Tc 0.0000 0.0000 0.7448
Tc 0.3333 0.6667 0.4115
Tc 0.3333 0.6667 0.9219
Tc 0.6667 0.3333 0.0781
Tc 0.6667 0.3333 0.5885
Sb 0.0000 0.0000 0.5000
Sb 0.3333 0.6667 0.1667
Sb 0.6667 0.3333 0.8333
CELL_PARAMETERS angstrom
2.9898 0.0000 0.0000
-1.4949 2.5892 0.0000
0.0000 0.0000 24.7078
```



Sequential ΔE_f (raw) output: 0.2146 0.2309 0.1752 1.0913 0.3355 0.2482 0.2821 0.4308 eV per atom
Sequential magnetic moment output: 0.55 0.66 0.67 0.19 0.55 0.64 0.76 0.60 μB per atom
Sequential D(E_F) output: 2.9 3.0 3.0 6.2 4.3 3.8 5.0 2.7 states/eV/f.u.